The following is a GGA-PBE calculation of crystalline Ba2LiO at its relaxed geometry, from Alexandria via LeMat-Bulk.

a = 7.8687 Å, b = 7.8687 Å, c = 7.5521 Å
α = 58.60°, β = 58.60°, γ = 90.00°
Last column: nearest neighbours and their distance in Å.
Sites, in units of the cell vectors:
O: 0.7500 0.2500 0.5000  4 Ba 2.56
Li: 0.2500 0.7500 0.5000  4 Ba 3.74
Li: 0.5000 0.5000 0.0000  4 Ba 3.74
Ba: 0.8750 0.9948 0.7500  2 O 2.56
O: 0.0000 0.0000 0.0000  4 Ba 2.56
Ba: 0.7448 0.1250 0.2500  2 O 2.56
Ba: 0.0052 0.6250 0.2500  2 O 2.56
Ba: 0.3750 0.2552 0.7500  2 O 2.56

Results
E_tot, eV per atom: -3.83
SG: No. 122
Uncorrected formation energy, meV/atom: -1150